Density functional theory data (GGA+U) for SmCoAsO after structural relaxation.

E above lowest polymorph (kJ/mol of atoms): 0.00
Magnetization (μB/atom): 0.164
Crystal system: tetragonal

```
data_SmCoAsO
_symmetry_space_group_name_H-M 'P 4/n m m'
_symmetry_Int_Tables_number 129
_cell_length_a 4.006
_cell_length_b 4.006
_cell_length_c 7.993
_cell_angle_alpha 90.00
_cell_angle_beta 90.00
_cell_angle_gamma 90.00
loop_
_symmetry_equiv_pos_as_xyz
'x,y,z'
'-x,-y,-z'
'-y+1/2,x,z'
'y+1/2,-x,-z'
'-x+1/2,-y+1/2,z'
'x+1/2,y+1/2,-z'
'y,-x+1/2,z'
'-y,x+1/2,-z'
'x+1/2,-y,-z'
'-x+1/2,y,z'
'-y,-x,-z'
'y,x,z'
'-x,y+1/2,-z'
'x,-y+1/2,z'
'y+1/2,x+1/2,-z'
'-y+1/2,-x+1/2,z'
loop_
_atom_site_label
_atom_site_type_symbol
_atom_site_fract_x
_atom_site_fract_y
_atom_site_fract_z
_atom_site_occupancy
Sm1 Sm 0.250 0.250 0.144 1
Co1 Co 0.250 0.750 0.500 1
As1 As 0.250 0.250 0.642 1
O1 O 0.250 0.750 0.000 1
```